LiScTi: optimized geometry, PBE-GGA.

Calculated values
Offset from the most stable computed form in eV/atom: 0.977

Cell lengths 4.7699, 4.7699, 4.7699 Å; angles 60.00, 60.00, 60.00 degrees
Site moments in Bohr magnetons follow the coordinates.
Fractional coordinates of all 3 atoms:
Sc 0.7500 0.7500 0.7500  0.75
Li 0.2500 0.2500 0.2500  0.01
Ti 0.5000 0.5000 0.5000  1.85